# V3TcW3 (PBE-GGA, optimized geometry)
# * formation energy from the elements: -0.16 eV per atom
data_V3TcW3
_chemical_formula_sum 'V6 Tc2 W6'
_symmetry_space_group_name_H-M 'P 1 21/m 1'
_symmetry_Int_Tables_number 11
_cell_length_a 6.742
_cell_length_b 4.374
_cell_length_c 7.562
_cell_angle_alpha 90.00
_cell_angle_beta 112.12
_cell_angle_gamma 90.00
loop_
_symmetry_equiv_pos_as_xyz
'x,y,z'
'-x,-y,-z'
'-x,y+1/2,-z'
'x,-y+1/2,z'
loop_
_atom_site_label
_atom_site_type_symbol
_atom_site_fract_x
_atom_site_fract_y
_atom_site_fract_z
_atom_site_occupancy
V1 V 0.072 0.250 0.104 1
V2 V 0.073 0.750 0.612 1
V3 V 0.355 0.750 0.033 1
Tc1 Tc 0.213 0.250 0.824 1
W1 W 0.206 0.750 0.316 1
W2 W 0.352 0.250 0.536 1
W3 W 0.498 0.250 0.245 1



# LaGe3Se (PBE-GGA, optimized geometry)
# * ΔE to the lowest computed polymorph: 0.0 meV per atom
# * energy relative to the elements, uncorrected: 13 kJ/mol of atoms
data_LaGe3Se
_chemical_formula_sum 'La1 Ge3 Se1'
_symmetry_space_group_name_H-M 'P m -3 m'
_symmetry_Int_Tables_number 221
_symmetry_space_group_name_Hall '-P 4 2 3'
_cell_length_a 5.112
_cell_length_b 5.112
_cell_length_c 5.112
_cell_angle_alpha 90.00
_cell_angle_beta 90.00
_cell_angle_gamma 90.00
loop_
_atom_site_label
_atom_site_type_symbol
_atom_site_fract_x
_atom_site_fract_y
_atom_site_fract_z
_atom_site_occupancy
La1 La 0.000 0.000 0.000 1
Ge1 Ge 0.000 0.500 0.500 1
Se1 Se 0.500 0.500 0.500 1



# Mg2PbAuC (PBE-GGA, optimized geometry)
# * formation energy from the elements: 1.62 eV per atom
data_Mg2PbAuC
_chemical_formula_sum 'Mg2 Pb1 Au1 C1'
_symmetry_space_group_name_H-M 'P 4/m m m'
_symmetry_Int_Tables_number 123
_symmetry_space_group_name_Hall '-P 4 2'
_cell_length_a 5.513
_cell_length_b 5.513
_cell_length_c 5.297
_cell_angle_alpha 90.00
_cell_angle_beta 90.00
_cell_angle_gamma 90.00
loop_
_atom_site_label
_atom_site_type_symbol
_atom_site_fract_x
_atom_site_fract_y
_atom_site_fract_z
_atom_site_occupancy
Mg1 Mg 0.000 0.500 0.000 1
Pb1 Pb 0.000 0.000 0.000 1
Au1 Au 0.000 0.000 0.500 1
C1 C 0.500 0.500 0.500 1



# Sm4YTm5 (PBE-GGA, optimized geometry)
# * formation energy from the elements: 0.30 eV per atom
# * ΔE to the lowest computed polymorph: 102.3 meV per atom
data_Sm4YTm5
_chemical_formula_sum 'Sm8 Y2 Tm10'
_symmetry_space_group_name_H-M 'I 4'
_symmetry_Int_Tables_number 79
_cell_length_a 10.270
_cell_length_b 10.270
_cell_length_c 6.210
_cell_angle_alpha 90.00
_cell_angle_beta 90.00
_cell_angle_gamma 90.00
loop_
_symmetry_equiv_pos_as_xyz
'x,y,z'
'-y,x,z'
'-x,-y,z'
'y,-x,z'
'x+1/2,y+1/2,z+1/2'
'-y+1/2,x+1/2,z+1/2'
'-x+1/2,-y+1/2,z+1/2'
'y+1/2,-x+1/2,z+1/2'
loop_
_atom_site_label
_atom_site_type_symbol
_atom_site_fract_x
_atom_site_fract_y
_atom_site_fract_z
_atom_site_occupancy
Sm1 Sm 0.049 0.349 0.000 1
Y1 Y 0.000 0.000 0.231 1
Tm1 Tm 0.000 0.000 0.765 1
Tm2 Tm 0.148 0.231 0.503 1



What are the DOS at the Fermi energy values for these records? In order: 3.29 5.11 4.00 14.16 states/eV/f.u..